# KSrGdMnO6

Crystalline KSrGdMnO6 at its relaxed geometry (GGA+U, Alexandria via LeMat-Bulk).

a b c (Å): 5.866 5.866 5.866
angles (deg): 60.00 60.00 60.00
Site moments in Bohr magnetons follow the coordinates.
Atoms (fractional coordinates):
Mn 0.500 0.500 0.500  3.16
O 0.731 0.731 0.269  -0.31
O 0.731 0.269 0.731  -0.31
O 0.269 0.269 0.731  -0.31
Sr 0.250 0.250 0.250  0.01
O 0.269 0.731 0.731  -0.31
O 0.269 0.731 0.269  -0.31
Gd 0.000 0.000 0.000  6.80
O 0.731 0.269 0.269  -0.31
K 0.750 0.750 0.750  0.01

Energy (eV/cell): -73.842
Density of states at the Fermi level (states/eV/atom): 0.8119
Symmetry: F-43m, No. 216